# 1
Li2AcNdHg4 after structural relaxation. Source: Alexandria via LeMat-Bulk, functional PBE.

The structure in CIF format:
```
data_Li2AcNdHg4
_chemical_formula_sum 'Li6 Ac3 Nd3 Hg12'
_symmetry_space_group_name_H-M 'R -3 m'
_symmetry_Int_Tables_number 166
_symmetry_space_group_name_Hall '-R 3 2"'
_cell_length_a 5.1342
_cell_length_b 5.1342
_cell_length_c 27.1429
_cell_angle_alpha 90.00
_cell_angle_beta 90.00
_cell_angle_gamma 120.00
loop_
_atom_site_label
_atom_site_type_symbol
_atom_site_fract_x
_atom_site_fract_y
_atom_site_fract_z
_atom_site_occupancy
Li1 Li 0.0000 0.0000 0.2429 1
Ac1 Ac 0.0000 0.0000 0.0000 1
Nd1 Nd 0.0000 0.0000 0.5000 1
Hg1 Hg 0.0000 0.0000 0.1243 1
Hg2 Hg 0.0000 0.0000 0.3855 1
```

Values from the calculation:
Formation enthalpy at 0 K in meV per atom: -433


# 2
LiAc2NiHg after structural relaxation. Source: Alexandria via LeMat-Bulk, functional PBE.

The structure in CIF format:
```
data_LiAc2NiHg
_chemical_formula_sum 'Li2 Ac4 Ni2 Hg2'
_symmetry_space_group_name_H-M 'P 1 21/m 1'
_symmetry_Int_Tables_number 11
_symmetry_space_group_name_Hall '-P 2yb'
_cell_length_a 8.384
_cell_length_b 4.246
_cell_length_c 8.466
_cell_angle_alpha 90.00
_cell_angle_beta 111.99
_cell_angle_gamma 90.00
loop_
_atom_site_label
_atom_site_type_symbol
_atom_site_fract_x
_atom_site_fract_y
_atom_site_fract_z
_atom_site_occupancy
Li1 Li 0.147 0.250 0.061 1
Ac1 Ac 0.160 0.750 0.398 1
Ac2 Ac 0.479 0.250 0.789 1
Ni1 Ni 0.431 0.250 0.420 1
Hg1 Hg 0.164 0.750 0.835 1
```

Values from the calculation:
Formation enthalpy at 0 K in meV per atom: -314


# 3
LiAcHg2O4 after structural relaxation. Source: Alexandria via LeMat-Bulk, functional PBE.

The structure in CIF format:
```
data_LiAcHg2O4
_chemical_formula_sum 'Li2 Ac2 Hg4 O8'
_symmetry_space_group_name_H-M 'I 2 2 2'
_symmetry_Int_Tables_number 23
_symmetry_space_group_name_Hall 'I 2 2'
_cell_length_a 6.106
_cell_length_b 6.574
_cell_length_c 6.753
_cell_angle_alpha 90.00
_cell_angle_beta 90.00
_cell_angle_gamma 90.00
loop_
_atom_site_label
_atom_site_type_symbol
_atom_site_fract_x
_atom_site_fract_y
_atom_site_fract_z
_atom_site_occupancy
Li1 Li 0.000 0.000 0.000 1
Ac1 Ac 0.000 0.500 0.000 1
Hg1 Hg 0.000 0.272 0.500 1
O1 O 0.207 0.213 0.145 1
```

Values from the calculation:
Uncorrected energy in eV/atom: -4.76


# 4
LiAc2HgO5 after structural relaxation. Source: Alexandria via LeMat-Bulk, functional PBE.

The structure in CIF format:
```
data_LiAc2HgO5
_chemical_formula_sum 'Li2 Ac4 Hg2 O10'
_symmetry_space_group_name_H-M 'P 4/m b m'
_symmetry_Int_Tables_number 127
_symmetry_space_group_name_Hall '-P 4 2ab'
_cell_length_a 7.378
_cell_length_b 7.378
_cell_length_c 5.415
_cell_angle_alpha 90.00
_cell_angle_beta 90.00
_cell_angle_gamma 90.00
loop_
_atom_site_label
_atom_site_type_symbol
_atom_site_fract_x
_atom_site_fract_y
_atom_site_fract_z
_atom_site_occupancy
Li1 Li 0.000 0.500 0.000 1
Ac1 Ac 0.173 0.327 0.500 1
Hg1 Hg 0.000 0.000 0.000 1
O1 O 0.000 0.000 0.500 1
O2 O 0.135 0.635 0.244 1
```

Values from the calculation:
Uncorrected energy in eV/atom: -5.80


# 5
Li2AcHg2Pb after structural relaxation. Source: Alexandria via LeMat-Bulk, functional PBE.

The structure in CIF format:
```
data_Li2AcHg2Pb
_chemical_formula_sum 'Li2 Ac1 Hg2 Pb1'
_symmetry_space_group_name_H-M 'P -3 m 1'
_symmetry_Int_Tables_number 164
_symmetry_space_group_name_Hall '-P 3 2"'
_cell_length_a 4.9176
_cell_length_b 4.9176
_cell_length_c 7.2888
_cell_angle_alpha 90.00
_cell_angle_beta 90.00
_cell_angle_gamma 120.00
loop_
_atom_site_label
_atom_site_type_symbol
_atom_site_fract_x
_atom_site_fract_y
_atom_site_fract_z
_atom_site_occupancy
Li1 Li 0.3333 0.6667 0.1431 1
Ac1 Ac 0.0000 0.0000 0.5000 1
Hg1 Hg 0.3333 0.6667 0.7439 1
Pb1 Pb 0.0000 0.0000 0.0000 1
```

Values from the calculation:
Formation enthalpy at 0 K in meV per atom: -411


# 6
Li4Ac2HgPb3 after structural relaxation. Source: Alexandria via LeMat-Bulk, functional PBE.

The structure in CIF format:
```
data_Li4Ac2HgPb3
_chemical_formula_sum 'Li4 Ac2 Hg1 Pb3'
_symmetry_space_group_name_H-M 'P -4 m 2'
_symmetry_Int_Tables_number 115
_symmetry_space_group_name_Hall 'P -4 -2'
_cell_length_a 4.826
_cell_length_b 4.826
_cell_length_c 10.965
_cell_angle_alpha 90.00
_cell_angle_beta 90.00
_cell_angle_gamma 90.00
loop_
_atom_site_label
_atom_site_type_symbol
_atom_site_fract_x
_atom_site_fract_y
_atom_site_fract_z
_atom_site_occupancy
Li1 Li 0.000 0.000 0.000 1
Li2 Li 0.000 0.500 0.379 1
Li3 Li 0.500 0.500 0.000 1
Ac1 Ac 0.000 0.500 0.759 1
Hg1 Hg 0.500 0.500 0.500 1
Pb1 Pb 0.000 0.000 0.500 1
Pb2 Pb 0.000 0.500 0.133 1
```

Values from the calculation:
Formation enthalpy at 0 K in meV per atom: -429


# 7
Li3Ac2HgPb4 after structural relaxation. Source: Alexandria via LeMat-Bulk, functional PBE.

The structure in CIF format:
```
data_Li3Ac2HgPb4
_chemical_formula_sum 'Li3 Ac2 Hg1 Pb4'
_symmetry_space_group_name_H-M 'P -4 m 2'
_symmetry_Int_Tables_number 115
_symmetry_space_group_name_Hall 'P -4 -2'
_cell_length_a 4.800
_cell_length_b 4.800
_cell_length_c 11.691
_cell_angle_alpha 90.00
_cell_angle_beta 90.00
_cell_angle_gamma 90.00
loop_
_atom_site_label
_atom_site_type_symbol
_atom_site_fract_x
_atom_site_fract_y
_atom_site_fract_z
_atom_site_occupancy
Li1 Li 0.000 0.000 0.000 1
Li2 Li 0.000 0.500 0.625 1
Ac1 Ac 0.000 0.500 0.249 1
Hg1 Hg 0.500 0.500 0.000 1
Pb1 Pb 0.000 0.000 0.500 1
Pb2 Pb 0.000 0.500 0.851 1
Pb3 Pb 0.500 0.500 0.500 1
```

Values from the calculation:
Formation enthalpy at 0 K in meV per atom: -427


# 8
LiAc2Hg6Pb after structural relaxation. Source: Alexandria via LeMat-Bulk, functional PBE.

The structure in CIF format:
```
data_LiAc2Hg6Pb
_chemical_formula_sum 'Li6 Ac12 Hg36 Pb6'
_symmetry_space_group_name_H-M 'R -3 m'
_symmetry_Int_Tables_number 166
_symmetry_space_group_name_Hall '-R 3 2"'
_cell_length_a 7.1503
_cell_length_b 7.1503
_cell_length_c 37.7944
_cell_angle_alpha 90.00
_cell_angle_beta 90.00
_cell_angle_gamma 120.00
loop_
_atom_site_label
_atom_site_type_symbol
_atom_site_fract_x
_atom_site_fract_y
_atom_site_fract_z
_atom_site_occupancy
Li1 Li 0.0000 0.0000 0.0000 1
Li2 Li 0.0000 0.0000 0.5000 1
Ac1 Ac 0.0000 0.0000 0.1098 1
Ac2 Ac 0.0000 0.0000 0.2827 1
Hg1 Hg 0.0238 0.5119 0.3019 1
Hg2 Hg 0.0583 0.5292 0.8609 1
Pb1 Pb 0.0000 0.0000 0.4257 1
```

Values from the calculation:
Formation enthalpy at 0 K in meV per atom: -267


# 9
Li4AcHgPb2 after structural relaxation. Source: Alexandria via LeMat-Bulk, functional PBE.

The structure in CIF format:
```
data_Li4AcHgPb2
_chemical_formula_sum 'Li12 Ac3 Hg3 Pb6'
_symmetry_space_group_name_H-M 'R -3 m'
_symmetry_Int_Tables_number 166
_symmetry_space_group_name_Hall '-R 3 2"'
_cell_length_a 4.9003
_cell_length_b 4.9003
_cell_length_c 27.6648
_cell_angle_alpha 90.00
_cell_angle_beta 90.00
_cell_angle_gamma 120.00
loop_
_atom_site_label
_atom_site_type_symbol
_atom_site_fract_x
_atom_site_fract_y
_atom_site_fract_z
_atom_site_occupancy
Li1 Li 0.0000 0.0000 0.0937 1
Li2 Li 0.0000 0.0000 0.3665 1
Ac1 Ac 0.0000 0.0000 0.5000 1
Hg1 Hg 0.0000 0.0000 0.0000 1
Pb1 Pb 0.0000 0.0000 0.2424 1
```

Values from the calculation:
Formation enthalpy at 0 K in meV per atom: -376


# 10
Li2AcHg2Pb2 after structural relaxation. Source: Alexandria via LeMat-Bulk, functional PBE.

The structure in CIF format:
```
data_Li2AcHg2Pb2
_chemical_formula_sum 'Li6 Ac3 Hg6 Pb6'
_symmetry_space_group_name_H-M 'R -3 m'
_symmetry_Int_Tables_number 166
_symmetry_space_group_name_Hall '-R 3 2"'
_cell_length_a 4.8789
_cell_length_b 4.8789
_cell_length_c 26.6776
_cell_angle_alpha 90.00
_cell_angle_beta 90.00
_cell_angle_gamma 120.00
loop_
_atom_site_label
_atom_site_type_symbol
_atom_site_fract_x
_atom_site_fract_y
_atom_site_fract_z
_atom_site_occupancy
Li1 Li 0.0000 0.0000 0.1431 1
Ac1 Ac 0.0000 0.0000 0.0000 1
Hg1 Hg 0.0000 0.0000 0.4450 1
Pb1 Pb 0.0000 0.0000 0.2599 1
```

Values from the calculation:
Formation enthalpy at 0 K in meV per atom: -350


# 11
Li2Ac3HgPd9 after structural relaxation. Source: Alexandria via LeMat-Bulk, functional PBE.

The structure in CIF format:
```
data_Li2Ac3HgPd9
_chemical_formula_sum 'Li2 Ac3 Hg1 Pd9'
_symmetry_space_group_name_H-M 'P -3 m 1'
_symmetry_Int_Tables_number 164
_symmetry_space_group_name_Hall '-P 3 2"'
_cell_length_a 7.0176
_cell_length_b 7.0176
_cell_length_c 7.3189
_cell_angle_alpha 90.00
_cell_angle_beta 90.00
_cell_angle_gamma 120.00
loop_
_atom_site_label
_atom_site_type_symbol
_atom_site_fract_x
_atom_site_fract_y
_atom_site_fract_z
_atom_site_occupancy
Li1 Li 0.3333 0.6667 0.1112 1
Ac1 Ac 0.0000 0.0000 0.0000 1
Ac2 Ac 0.3333 0.6667 0.6651 1
Hg1 Hg 0.0000 0.0000 0.5000 1
Pd1 Pd 0.0000 0.5000 0.0000 1
Pd2 Pd 0.1912 0.3824 0.3203 1
```

Values from the calculation:
Formation enthalpy at 0 K in meV per atom: -449


# 12
LiAcHgPd2 after structural relaxation. Source: Alexandria via LeMat-Bulk, functional PBE.

The structure in CIF format:
```
data_LiAcHgPd2
_chemical_formula_sum 'Li2 Ac2 Hg2 Pd4'
_symmetry_space_group_name_H-M 'I -4 m 2'
_symmetry_Int_Tables_number 119
_symmetry_space_group_name_Hall 'I -4 -2'
_cell_length_a 4.130
_cell_length_b 4.130
_cell_length_c 13.019
_cell_angle_alpha 90.00
_cell_angle_beta 90.00
_cell_angle_gamma 90.00
loop_
_atom_site_label
_atom_site_type_symbol
_atom_site_fract_x
_atom_site_fract_y
_atom_site_fract_z
_atom_site_occupancy
Li1 Li 0.000 0.000 0.000 1
Ac1 Ac 0.000 0.500 0.250 1
Hg1 Hg 0.000 0.000 0.500 1
Pd1 Pd 0.000 0.500 0.646 1
```

Values from the calculation:
Formation enthalpy at 0 K in meV per atom: -624


Size of the total moment list, top to bottom, in μB per cell: 0.0 0.0 0.0 2.8 0.0 0.0 0.0 0.0 0.0 0.0 0.0 0.0